# 1
LiLa3 after structural relaxation. Source: Alexandria via LeMat-Bulk, functional PBEsol.

```
LiLa3
1.0
3.700 -4.704 0.000
3.700 4.704 0.000
0.000 0.000 3.535
Li La
1 3
Cartesian
0.000 0.000 0.000
1.850 2.352 1.767
1.850 -2.352 1.767
3.700 0.000 0.000
```

Calculated values
- distance to the lowest polymorph of the same formula (eV per atom) = 0.040
- symmetry = Cmmm
- DOS(E_F) (states/eV per cell) = 4.51
- total moment (Bohr magnetons per cell) = 0.001

# 2
Li5La after structural relaxation. Source: Alexandria via LeMat-Bulk, functional PBEsol.

```
Li5La
1.0
5.939 0.000 0.000
-2.969 5.143 0.000
0.000 0.000 4.533
Li La
5 1
Cartesian
-1.488 2.577 0.000
0.000 3.429 2.266
1.482 2.566 0.000
2.976 0.000 0.000
2.969 1.714 2.266
0.000 0.000 2.266
```

Calculated values
- distance to the lowest polymorph of the same formula (eV per atom) = 0.035
- symmetry = P-62m
- DOS(E_F) (states/eV per cell) = 4.36
- total moment (Bohr magnetons per cell) = 1.137

# 3
Li5La after structural relaxation. Source: Alexandria via LeMat-Bulk, functional PBEsol.

```
Li5La
1.0
5.246 0.000 0.000
0.000 1.570 8.399
0.000 -1.570 8.399
Li La
5 1
Cartesian
0.000 0.000 0.000
0.000 0.000 5.151
0.000 0.000 11.053
2.623 0.000 3.519
2.623 0.000 9.468
2.623 0.000 14.890
```

Calculated values
- distance to the lowest polymorph of the same formula (eV per atom) = 0.015
- symmetry = Amm2
- DOS(E_F) (states/eV per cell) = 4.28
- total moment (Bohr magnetons per cell) = 0.001

# 4
LiLa5 after structural relaxation. Source: Alexandria via LeMat-Bulk, functional PBEsol.

```
LiLa5
1.0
3.622 0.000 0.000
0.000 3.622 0.000
0.000 0.000 14.444
Li La
1 5
Cartesian
0.000 0.000 0.000
0.000 0.000 4.647
0.000 0.000 9.797
1.811 1.811 2.217
1.811 1.811 7.222
1.811 1.811 12.227
```

Calculated values
- distance to the lowest polymorph of the same formula (eV per atom) = 0.000
- symmetry = P4/mmm
- DOS(E_F) (states/eV per cell) = 6.93
- total moment (Bohr magnetons per cell) = 0.001

# 5
LiLa3 after structural relaxation. Source: Alexandria via LeMat-Bulk, functional PBEsol.

```
LiLa3
1.0
3.596 0.000 0.000
0.000 3.596 0.000
0.000 0.000 9.428
Li La
1 3
Cartesian
0.000 0.000 0.000
0.000 0.000 4.714
1.798 1.798 2.250
1.798 1.798 7.178
```

Calculated values
- distance to the lowest polymorph of the same formula (eV per atom) = 0.000
- symmetry = P4/mmm
- DOS(E_F) (states/eV per cell) = 4.59
- total moment (Bohr magnetons per cell) = 0.001

# 6
Li2La after structural relaxation. Source: Alexandria via LeMat-Bulk, functional PBEsol.

```
Li2La
1.0
1.681 -8.543 0.000
1.681 8.543 0.000
0.000 0.000 5.241
Li La
4 2
Cartesian
1.681 7.749 3.931
1.681 1.673 3.931
1.681 -1.673 1.310
1.681 -7.749 1.310
1.681 3.742 1.310
1.681 -3.742 3.931
```

Calculated values
- distance to the lowest polymorph of the same formula (eV per atom) = 0.000
- symmetry = Cmcm
- DOS(E_F) (states/eV per cell) = 4.43
- total moment (Bohr magnetons per cell) = 0.000

# 7
LiLa5 after structural relaxation. Source: Alexandria via LeMat-Bulk, functional PBEsol.

```
LiLa5
1.0
2.534 -7.215 0.000
2.534 7.215 0.000
0.000 0.000 5.179
Li La
1 5
Cartesian
0.000 0.000 0.000
2.534 4.860 2.589
2.534 2.463 0.000
2.534 0.000 2.589
2.534 -2.463 0.000
2.534 -4.860 2.589
```

Calculated values
- distance to the lowest polymorph of the same formula (eV per atom) = 0.057
- symmetry = Cmmm
- DOS(E_F) (states/eV per cell) = 8.57
- total moment (Bohr magnetons per cell) = 0.001

# 8
LiLa3 after structural relaxation. Source: Alexandria via LeMat-Bulk, functional PBEsol.

```
LiLa3
1.0
1.781 1.028 11.489
-1.781 1.028 11.489
0.000 -2.056 11.489
Li La
1 3
Cartesian
0.000 0.000 0.000
0.000 0.000 8.653
0.000 0.000 17.233
0.000 0.000 25.814
```

Calculated values
- distance to the lowest polymorph of the same formula (eV per atom) = 0.015
- symmetry = R-3m
- DOS(E_F) (states/eV per cell) = 4.61
- total moment (Bohr magnetons per cell) = 0.001

# 9
LiLaMg2 after structural relaxation. Source: Alexandria via LeMat-Bulk, functional PBEsol.

```
LiLaMg2
1.0
3.438 0.000 0.000
0.000 3.438 0.000
0.000 0.000 8.277
Li La Mg
1 1 2
Cartesian
0.000 0.000 0.000
1.719 1.719 5.925
0.000 0.000 3.505
1.719 1.719 1.565
```

Calculated values
- distance to the lowest polymorph of the same formula (eV per atom) = 0.073
- symmetry = P4mm
- DOS(E_F) (states/eV per cell) = 3.72
- total moment (Bohr magnetons per cell) = 0.000

# 10
LiLaMg2 after structural relaxation. Source: Alexandria via LeMat-Bulk, functional PBEsol.

```
LiLaMg2
1.0
-2.622 2.622 3.700
2.622 -2.622 3.700
2.622 2.622 -3.700
Li La Mg
1 1 2
Cartesian
0.000 0.000 0.000
0.000 0.000 3.700
2.622 0.000 1.850
0.000 2.622 1.850
```

Calculated values
- distance to the lowest polymorph of the same formula (eV per atom) = 0.046
- symmetry = I4/mmm
- DOS(E_F) (states/eV per cell) = 2.35
- total moment (Bohr magnetons per cell) = 0.000

# 11
LiLaMg2 after structural relaxation. Source: Alexandria via LeMat-Bulk, functional PBEsol.

```
LiLaMg2
1.0
3.449 0.000 0.000
0.000 3.449 0.000
0.000 0.000 8.252
Li La Mg
1 1 2
Cartesian
0.000 0.000 0.000
0.000 0.000 4.126
1.724 1.724 1.676
1.724 1.724 6.575
```

Calculated values
- distance to the lowest polymorph of the same formula (eV per atom) = 0.020
- symmetry = P4/mmm
- DOS(E_F) (states/eV per cell) = 3.86
- total moment (Bohr magnetons per cell) = 0.001

# 12
LiLaMg2 after structural relaxation. Source: Alexandria via LeMat-Bulk, functional PBEsol.

```
LiLaMg2
1.0
3.189 0.000 0.000
0.000 4.919 0.000
-1.495 0.000 6.432
Li La Mg
1 1 2
Cartesian
0.000 0.000 0.000
-0.748 0.000 3.216
0.915 2.460 1.405
0.778 2.460 5.027
```

Calculated values
- distance to the lowest polymorph of the same formula (eV per atom) = 0.064
- symmetry = P2/m
- DOS(E_F) (states/eV per cell) = 3.67
- total moment (Bohr magnetons per cell) = 0.000